No. 1
# Be4Cu2Au3, optimized geometry, DFT GGA-PBE
# **Spin magnetization**: 0.000 μB/f.u.
# **DOS at the Fermi energy**: 3.7 states/eV/cell
# **ΔE_f**: -11.64 kJ/mol of atoms
data_Be4Cu2Au3
_space_group_name_H-M_alt 'C 1 2/m 1'
_space_group_IT_number 12
_cell_length_a 6.9837
_cell_length_b 4.0278
_cell_length_c 7.9190
_cell_angle_alpha 90.00
_cell_angle_beta 90.08
_cell_angle_gamma 90.00
loop_
_space_group_symop_operation_xyz
'x,y,z'
'-x,-y,-z'
'-x,y,-z'
'x,-y,z'
'x+1/2,y+1/2,z'
'-x+1/2,-y+1/2,-z'
'-x+1/2,y+1/2,-z'
'x+1/2,-y+1/2,z'
loop_
_atom_site_label
_atom_site_type_symbol
_atom_site_fract_x
_atom_site_fract_y
_atom_site_fract_z
Be1 Be 0.0000 0.0000 0.1875
Be2 Be 0.1667 0.5000 0.4042
Cu1 Cu 0.1665 0.5000 0.7098
Au1 Au 0.0000 0.0000 0.5000
Au2 Au 0.1667 0.5000 0.1032

---

No. 2
# Be5CuAu6, optimized geometry, DFT GGA-PBE
# **Spin magnetization**: 0.000 μB/f.u.
# **DOS at the Fermi energy**: 2.0 states/eV/cell
# **ΔE_f**: -9.72 kJ/mol of atoms
data_Be5CuAu6
_space_group_name_H-M_alt 'P 1 2/m 1'
_space_group_IT_number 10
_cell_length_a 4.1748
_cell_length_b 6.1678
_cell_length_c 6.5854
_cell_angle_alpha 90.00
_cell_angle_beta 107.74
_cell_angle_gamma 90.00
loop_
_space_group_symop_operation_xyz
'x,y,z'
'-x,-y,-z'
'-x,y,-z'
'x,-y,z'
loop_
_atom_site_label
_atom_site_type_symbol
_atom_site_fract_x
_atom_site_fract_y
_atom_site_fract_z
Be1 Be 0.0000 0.0000 0.0000
Be2 Be 0.3295 0.0000 0.6636
Be3 Be 0.3377 0.5000 0.6803
Cu1 Cu 0.0000 0.5000 0.0000
Au1 Au 0.1731 0.2463 0.3431
Au2 Au 0.5000 0.2324 0.0000

---

No. 3
# BeCuAu2, optimized geometry, DFT GGA-PBE
# **Spin magnetization**: 0.000 μB/f.u.
# **DOS at the Fermi energy**: 2.0 states/eV/cell
# **ΔE_f**: -3.84 kJ/mol of atoms
data_BeCuAu2
_space_group_name_H-M_alt 'I m m m'
_space_group_IT_number 71
_space_group_name_Hall '-I 2 2'
_cell_length_a 3.7145
_cell_length_b 4.3432
_cell_length_c 7.1531
_cell_angle_alpha 90.00
_cell_angle_beta 90.00
_cell_angle_gamma 90.00
loop_
_atom_site_label
_atom_site_type_symbol
_atom_site_fract_x
_atom_site_fract_y
_atom_site_fract_z
Be1 Be 0.0000 0.0000 0.0000
Cu1 Cu 0.0000 0.0000 0.5000
Au1 Au 0.0000 0.5000 0.2826

---

No. 4
# BeCuAu, optimized geometry, DFT GGA-PBE
# **Spin magnetization**: 0.000 μB/f.u.
# **DOS at the Fermi energy**: 1.6 states/eV/cell
# **Offset from the most stable computed form**: 118 meV per atom
# **ΔE_f**: -0.52 kJ/mol of atoms
data_BeCuAu
_space_group_name_H-M_alt 'F -4 3 m'
_space_group_IT_number 216
_space_group_name_Hall 'F -4 2 3'
_cell_length_a 5.4889
_cell_length_b 5.4889
_cell_length_c 5.4889
_cell_angle_alpha 90.00
_cell_angle_beta 90.00
_cell_angle_gamma 90.00
loop_
_atom_site_label
_atom_site_type_symbol
_atom_site_fract_x
_atom_site_fract_y
_atom_site_fract_z
Be1 Be 0.0000 0.0000 0.0000
Cu1 Cu 0.2500 0.2500 0.2500
Au1 Au 0.2500 0.2500 0.7500

---

No. 5
# BeCuAu, optimized geometry, DFT GGA-PBE
# **Spin magnetization**: 0.000 μB/f.u.
# **DOS at the Fermi energy**: 1.7 states/eV/cell
# **Offset from the most stable computed form**: 40 meV per atom
# **ΔE_f**: -7.99 kJ/mol of atoms
data_BeCuAu
_space_group_name_H-M_alt 'I 4 m m'
_space_group_IT_number 107
_space_group_name_Hall 'I 4 -2'
_cell_length_a 2.9398
_cell_length_b 2.9398
_cell_length_c 8.8054
_cell_angle_alpha 90.00
_cell_angle_beta 90.00
_cell_angle_gamma 90.00
loop_
_atom_site_label
_atom_site_type_symbol
_atom_site_fract_x
_atom_site_fract_y
_atom_site_fract_z
Be1 Be 0.0000 0.0000 0.0000
Cu1 Cu 0.0000 0.0000 0.6348
Au1 Au 0.0000 0.0000 0.3364

---

No. 6
# BeCuAu, optimized geometry, DFT GGA-PBE
# **Spin magnetization**: 0.000 μB/f.u.
# **DOS at the Fermi energy**: 1.4 states/eV/cell
# **Offset from the most stable computed form**: 189 meV per atom
# **ΔE_f**: 6.34 kJ/mol of atoms
data_BeCuAu
_space_group_name_H-M_alt 'P m m a'
_space_group_IT_number 51
_cell_length_a 4.6332
_cell_length_b 2.8142
_cell_length_c 6.1251
_cell_angle_alpha 90.00
_cell_angle_beta 90.00
_cell_angle_gamma 90.00
loop_
_space_group_symop_operation_xyz
'x,y,z'
'-x,-y,-z'
'-x+1/2,-y,z'
'x+1/2,y,-z'
'x+1/2,-y,-z'
'-x+1/2,y,z'
'-x,y,-z'
'x,-y,z'
loop_
_atom_site_label
_atom_site_type_symbol
_atom_site_fract_x
_atom_site_fract_y
_atom_site_fract_z
Be1 Be 0.2500 0.0000 0.1591
Cu1 Cu 0.0000 0.0000 0.5000
Au1 Au 0.2500 0.5000 0.8350

---

No. 7
# BeCu2Au6, optimized geometry, DFT GGA-PBE
# **Spin magnetization**: 0.000 μB/f.u.
# **DOS at the Fermi energy**: 4.6 states/eV/cell
# **ΔE_f**: -0.70 kJ/mol of atoms
data_BeCu2Au6
_space_group_name_H-M_alt 'P 1 21/c 1'
_space_group_IT_number 14
_cell_length_a 5.7550
_cell_length_b 5.9127
_cell_length_c 9.3139
_cell_angle_alpha 90.00
_cell_angle_beta 111.61
_cell_angle_gamma 90.00
loop_
_space_group_symop_operation_xyz
'x,y,z'
'-x,-y,-z'
'-x,y+1/2,-z+1/2'
'x,-y+1/2,z+1/2'
loop_
_atom_site_label
_atom_site_type_symbol
_atom_site_fract_x
_atom_site_fract_y
_atom_site_fract_z
Be1 Be 0.0000 0.0000 0.0000
Cu1 Cu 0.0615 0.1028 0.7481
Au1 Au 0.1893 0.1471 0.4977
Au2 Au 0.3291 0.6876 0.4620
Au3 Au 0.3910 0.0434 0.2490

---

No. 8
# BeCu8Au2, optimized geometry, DFT GGA-PBE
# **Spin magnetization**: 0.000 μB/f.u.
# **DOS at the Fermi energy**: 3.0 states/eV/cell
# **ΔE_f**: 5.02 kJ/mol of atoms
data_BeCu8Au2
_space_group_name_H-M_alt 'P -1'
_space_group_IT_number 2
_cell_length_a 4.5969
_cell_length_b 4.8638
_cell_length_c 6.7542
_cell_angle_alpha 97.75
_cell_angle_beta 95.74
_cell_angle_gamma 103.37
loop_
_space_group_symop_operation_xyz
'x,y,z'
'-x,-y,-z'
loop_
_atom_site_label
_atom_site_type_symbol
_atom_site_fract_x
_atom_site_fract_y
_atom_site_fract_z
Be1 Be 0.0000 0.0000 0.0000
Cu1 Cu 0.0667 0.4201 0.8292
Cu2 Cu 0.0956 0.0922 0.3467
Cu3 Cu 0.3900 0.3836 0.1393
Cu4 Cu 0.4740 0.0867 0.8296
Au1 Au 0.3116 0.6835 0.5039

---

No. 9
# Be3Cu2Au5, optimized geometry, DFT GGA-PBE
# **Spin magnetization**: 0.000 μB/f.u.
# **DOS at the Fermi energy**: 15.1 states/eV/cell
# **ΔE_f**: -5.45 kJ/mol of atoms
data_Be3Cu2Au5
_space_group_name_H-M_alt 'C 1 2/c 1'
_space_group_IT_number 15
_cell_length_a 9.0597
_cell_length_b 12.3418
_cell_length_c 5.0545
_cell_angle_alpha 90.00
_cell_angle_beta 91.82
_cell_angle_gamma 90.00
loop_
_space_group_symop_operation_xyz
'x,y,z'
'-x,-y,-z'
'-x,y,-z+1/2'
'x,-y,z+1/2'
'x+1/2,y+1/2,z'
'-x+1/2,-y+1/2,-z'
'-x+1/2,y+1/2,-z+1/2'
'x+1/2,-y+1/2,z+1/2'
loop_
_atom_site_label
_atom_site_type_symbol
_atom_site_fract_x
_atom_site_fract_y
_atom_site_fract_z
Be1 Be 0.0000 0.0041 0.2500
Be2 Be 0.1109 0.3569 0.1134
Cu1 Cu 0.1135 0.2715 0.5723
Au1 Au 0.0000 0.4568 0.7500
Au2 Au 0.1354 0.1670 0.0633
Au3 Au 0.2163 0.0622 0.5659

---

No. 10
# Be3CuAu, optimized geometry, DFT GGA-PBE
# **Spin magnetization**: 0.000 μB/f.u.
# **DOS at the Fermi energy**: 1.8 states/eV/cell
# **Offset from the most stable computed form**: 161 meV per atom
# **ΔE_f**: 69.57 kJ/mol of atoms
data_Be3CuAu
_space_group_name_H-M_alt 'P m -3 m'
_space_group_IT_number 221
_space_group_name_Hall '-P 4 2 3'
_cell_length_a 4.3057
_cell_length_b 4.3057
_cell_length_c 4.3057
_cell_angle_alpha 90.00
_cell_angle_beta 90.00
_cell_angle_gamma 90.00
loop_
_atom_site_label
_atom_site_type_symbol
_atom_site_fract_x
_atom_site_fract_y
_atom_site_fract_z
Be1 Be 0.0000 0.0000 0.5000
Cu1 Cu 0.5000 0.5000 0.5000
Au1 Au 0.0000 0.0000 0.0000

---

No. 11
# Be2CuAu2, optimized geometry, DFT GGA-PBE
# **Spin magnetization**: 0.000 μB/f.u.
# **DOS at the Fermi energy**: 3.1 states/eV/cell
# **Offset from the most stable computed form**: 79 meV per atom
# **ΔE_f**: -3.25 kJ/mol of atoms
data_Be2CuAu2
_space_group_name_H-M_alt 'P 4/m b m'
_space_group_IT_number 127
_space_group_name_Hall '-P 4 2ab'
_cell_length_a 6.9113
_cell_length_b 6.9113
_cell_length_c 2.8356
_cell_angle_alpha 90.00
_cell_angle_beta 90.00
_cell_angle_gamma 90.00
loop_
_atom_site_label
_atom_site_type_symbol
_atom_site_fract_x
_atom_site_fract_y
_atom_site_fract_z
Be1 Be 0.1474 0.3526 0.0000
Cu1 Cu 0.0000 0.0000 0.5000
Au1 Au 0.1511 0.6511 0.5000

---

No. 12
# BeCuAu4, optimized geometry, DFT GGA-PBE
# **Spin magnetization**: 0.000 μB/f.u.
# **DOS at the Fermi energy**: 2.1 states/eV/cell
# **Offset from the most stable computed form**: 0 meV per atom
# **ΔE_f**: -7.40 kJ/mol of atoms
data_BeCuAu4
_space_group_name_H-M_alt 'C 1 2/m 1'
_space_group_IT_number 12
_cell_length_a 10.6772
_cell_length_b 2.8713
_cell_length_c 6.3317
_cell_angle_alpha 90.00
_cell_angle_beta 106.63
_cell_angle_gamma 90.00
loop_
_space_group_symop_operation_xyz
'x,y,z'
'-x,-y,-z'
'-x,y,-z'
'x,-y,z'
'x+1/2,y+1/2,z'
'-x+1/2,-y+1/2,-z'
'-x+1/2,y+1/2,-z'
'x+1/2,-y+1/2,z'
loop_
_atom_site_label
_atom_site_type_symbol
_atom_site_fract_x
_atom_site_fract_y
_atom_site_fract_z
Be1 Be 0.0000 0.0000 0.0000
Cu1 Cu 0.0000 0.0000 0.5000
Au1 Au 0.1396 0.5000 0.8417
Au2 Au 0.1546 0.5000 0.3123